[1]
Here is a geometry-optimized Na3In2Sn structure from the Alexandria database. Energies are from PBE-GGA.

## Properties
magnetization = 0.000 μB per atom

Cell and atoms, written as POSCAR:
```
Na3In2Sn
1.0
-3.663 1.831 3.702
0.978 -5.819 3.846
7.581 5.793 0.522
In Na Sn
4 6 2
Direct
0.755 0.385 0.509
0.080 0.205 0.159
0.920 0.795 0.841
0.245 0.615 0.491
0.084 0.718 0.168
0.585 0.453 0.171
0.916 0.282 0.832
0.752 0.873 0.504
0.248 0.127 0.496
0.415 0.547 0.829
0.584 0.979 0.167
0.416 0.021 0.833
```



[2]
Here is a geometry-optimized Na3In2Sn6 structure from the Alexandria database. Energies are from PBE-GGA.

## Properties
magnetization = 0.000 μB per atom

Cell and atoms, written as POSCAR:
```
Na3In2Sn6
1.0
10.773 0.000 0.000
0.000 6.233 0.000
0.000 0.000 9.604
Na Sn In
6 12 4
Direct
0.000 0.500 0.806
0.500 0.000 0.694
0.000 0.000 0.000
0.000 0.500 0.194
0.500 0.000 0.306
0.500 0.500 0.500
0.766 0.169 0.500
0.739 0.671 0.677
0.266 0.331 0.000
0.761 0.171 0.177
0.761 0.171 0.823
0.261 0.329 0.677
0.734 0.669 0.000
0.239 0.829 0.177
0.739 0.671 0.323
0.234 0.831 0.500
0.239 0.829 0.823
0.261 0.329 0.323
0.040 0.245 0.500
0.540 0.255 0.000
0.960 0.755 0.500
0.460 0.745 0.000
```



[3]
Here is a geometry-optimized Na2In2Sn structure from the Alexandria database. Energies are from PBE-GGA.

## Properties
magnetization = 0.000 μB per atom

Cell and atoms, written as POSCAR:
```
Na2In2Sn
1.0
4.275 0.000 1.868
2.001 5.354 1.247
0.021 -0.018 5.777
Na In Sn
2 2 1
Direct
0.295 0.307 0.603
0.705 0.693 0.397
0.107 0.091 0.195
0.893 0.909 0.805
0.500 0.500 0.000
```



[4]
Here is a geometry-optimized Na2In6Sn structure from the Alexandria database. Energies are from PBE-GGA.

## Properties
magnetization = 0.000 μB per atom

Cell and atoms, written as POSCAR:
```
Na2In6Sn
1.0
-0.970 5.180 0.065
1.831 0.418 -5.969
-7.753 -4.138 0.612
In Na Sn
6 2 1
Direct
0.500 0.742 0.000
0.301 0.555 0.602
0.500 0.258 0.000
0.301 0.047 0.602
0.699 0.953 0.398
0.699 0.445 0.398
0.109 0.608 0.217
0.891 0.392 0.783
0.000 0.000 0.000
```



[5]
Here is a geometry-optimized NaIn7Sn4 structure from the Alexandria database. Energies are from PBE-GGA.

## Properties
magnetization = 0.000 μB per atom

Cell and atoms, written as POSCAR:
```
NaIn7Sn4
1.0
-1.830 4.834 2.621
-10.298 0.768 -2.198
-1.947 -0.689 6.319
In Sn Na
7 4 1
Direct
0.205 0.091 0.498
0.795 0.909 0.502
0.500 0.000 0.000
0.657 0.432 0.255
0.945 0.379 0.731
0.055 0.621 0.269
0.343 0.568 0.745
0.563 0.233 0.642
0.437 0.767 0.358
0.270 0.316 0.145
0.730 0.684 0.855
0.000 0.000 0.000
```



[6]
Here is a geometry-optimized Na2In2Sn5 structure from the Alexandria database. Energies are from PBE-GGA.

## Properties
magnetization = 0.000 μB per atom

Cell and atoms, written as POSCAR:
```
Na2In2Sn5
1.0
5.383 0.000 1.998
2.133 5.671 2.503
-0.133 -0.065 8.607
Sn Na In
5 2 2
Direct
0.114 0.489 0.284
0.000 0.000 0.000
0.409 0.992 0.189
0.591 0.008 0.811
0.886 0.511 0.716
0.795 0.012 0.399
0.205 0.988 0.601
0.306 0.498 0.889
0.694 0.502 0.111
```



[7]
Here is a geometry-optimized Na6In2Sn structure from the Alexandria database. Energies are from PBE-GGA.

## Properties
magnetization = 0.000 μB per atom

Cell and atoms, written as POSCAR:
```
Na6In2Sn
1.0
-3.699 1.453 -3.795
-6.568 1.702 5.035
-3.032 7.006 3.620
Na In Sn
6 2 1
Direct
0.083 0.791 0.791
0.917 0.209 0.209
0.476 0.861 0.350
0.476 0.350 0.861
0.524 0.139 0.650
0.524 0.650 0.139
0.980 0.596 0.596
0.020 0.404 0.404
0.000 0.000 0.000
```



[8]
Here is a geometry-optimized Na3In3Sn2 structure from the Alexandria database. Energies are from PBE-GGA.

## Properties
magnetization = 0.000 μB per atom

Cell and atoms, written as POSCAR:
```
Na3In3Sn2
1.0
4.847 0.000 0.000
0.000 4.798 -0.302
-2.424 -1.829 9.384
In Sn Na
3 2 3
Direct
0.369 0.869 0.738
0.500 0.500 0.000
0.631 0.131 0.262
0.249 0.248 0.498
0.751 0.752 0.502
0.874 0.374 0.748
0.126 0.626 0.252
0.000 0.000 0.000
```



[9]
Here is a geometry-optimized NaIn12Sn6 structure from the Alexandria database. Energies are from PBE-GGA.

## Properties
magnetization = 0.000 μB per atom

Cell and atoms, written as POSCAR:
```
NaIn12Sn6
1.0
8.079 -0.017 0.866
0.777 8.042 0.866
-0.019 -0.017 8.126
In Sn Na
12 6 1
Direct
0.504 0.502 0.211
0.789 0.496 0.498
0.498 0.789 0.496
0.735 0.736 0.035
0.502 0.211 0.504
0.736 0.035 0.735
0.211 0.504 0.502
0.965 0.265 0.264
0.265 0.264 0.965
0.264 0.965 0.265
0.496 0.498 0.789
0.035 0.735 0.736
0.130 0.132 0.622
0.870 0.868 0.378
0.378 0.870 0.868
0.622 0.130 0.132
0.868 0.378 0.870
0.132 0.622 0.130
0.000 0.000 0.000
```



[10]
Here is a geometry-optimized NaIn4Sn6 structure from the Alexandria database. Energies are from PBE-GGA.

## Properties
magnetization = 0.000 μB per atom

Cell and atoms, written as POSCAR:
```
NaIn4Sn6
1.0
-5.836 2.579 0.410
-2.035 -3.072 -5.225
2.438 -5.541 7.201
Sn In Na
6 4 1
Direct
0.512 0.134 0.730
0.501 0.962 0.999
0.134 0.512 0.730
0.962 0.501 0.999
0.947 0.947 0.309
0.438 0.438 0.244
0.466 0.986 0.349
0.986 0.466 0.349
0.572 0.572 0.632
0.985 0.985 0.658
0.997 0.997 0.001
```



[11]
Here is a geometry-optimized NaInSn3 structure from the Alexandria database. Energies are from PBE-GGA.

## Properties
magnetization = 0.000 μB per atom

Cell and atoms, written as POSCAR:
```
NaInSn3
1.0
4.638 0.018 0.000
-2.284 7.550 0.000
0.000 0.000 9.607
Sn In Na
6 2 2
Direct
0.346 0.818 0.003
0.676 0.377 0.250
0.654 0.182 0.997
0.654 0.182 0.503
0.346 0.818 0.497
0.324 0.623 0.750
0.283 0.601 0.250
0.717 0.399 0.750
0.000 0.995 0.750
0.000 0.005 0.250
```



[12]
Here is a geometry-optimized Na4In2Sn5 structure from the Alexandria database. Energies are from PBE-GGA.

## Properties
magnetization = 0.000 μB per atom

Cell and atoms, written as POSCAR:
```
Na4In2Sn5
1.0
-2.555 1.313 -1.565
-5.941 -5.994 4.670
2.013 9.395 4.598
Sn In Na
5 2 4
Direct
0.000 0.500 0.000
0.000 0.452 0.272
0.000 0.548 0.728
0.000 0.099 0.179
0.000 0.901 0.821
0.000 0.868 0.326
0.000 0.132 0.674
0.500 0.272 0.474
0.500 0.728 0.526
0.500 0.212 0.977
0.500 0.788 0.023
```



[13]
Here is a geometry-optimized Na3InSn structure from the Alexandria database. Energies are from PBE-GGA.

## Properties
magnetization = 0.000 μB per atom

Cell and atoms, written as POSCAR:
```
Na3InSn
1.0
9.273 0.503 0.372
2.622 7.754 -0.929
2.622 1.386 7.685
Na Sn In
12 4 4
Direct
0.054 0.672 0.919
0.548 0.433 0.181
0.952 0.819 0.567
0.946 0.328 0.081
0.048 0.181 0.433
0.855 0.966 0.215
0.355 0.215 0.966
0.446 0.081 0.328
0.645 0.785 0.034
0.452 0.567 0.819
0.145 0.034 0.785
0.554 0.919 0.672
0.250 0.385 0.615
0.750 0.615 0.385
0.750 0.138 0.862
0.250 0.862 0.138
0.844 0.482 0.731
0.344 0.731 0.482
0.156 0.518 0.269
0.656 0.269 0.518
```



[14]
Here is a geometry-optimized NaIn2Sn3 structure from the Alexandria database. Energies are from PBE-GGA.

## Properties
magnetization = 0.000 μB per atom

Cell and atoms, written as POSCAR:
```
NaIn2Sn3
1.0
4.871 0.000 0.000
0.000 4.705 0.000
0.000 0.000 14.076
Sn Na In
6 2 4
Direct
0.500 0.500 0.000
0.500 0.000 0.168
0.500 0.000 0.500
0.500 0.500 0.332
0.500 0.500 0.668
0.500 0.000 0.832
0.000 0.000 0.000
0.000 0.500 0.500
0.000 0.000 0.666
0.000 0.500 0.166
0.000 0.000 0.334
0.000 0.500 0.834
```



[15]
Here is a geometry-optimized Na2In2Sn3 structure from the Alexandria database. Energies are from PBE-GGA.

## Properties
magnetization = 0.000 μB per atom

Cell and atoms, written as POSCAR:
```
Na2In2Sn3
1.0
4.537 0.000 0.000
-2.269 6.268 0.106
0.000 -3.186 7.172
Sn In Na
3 2 2
Direct
0.599 0.198 0.446
0.401 0.802 0.554
0.500 0.000 0.000
0.163 0.327 0.246
0.837 0.673 0.754
0.134 0.268 0.793
0.866 0.732 0.207
```



[16]
Here is a geometry-optimized Na5In6Sn structure from the Alexandria database. Energies are from PBE-GGA.

## Properties
magnetization = 0.000 μB per atom

Cell and atoms, written as POSCAR:
```
Na5In6Sn
1.0
4.391 0.003 -1.284
-1.359 8.609 -4.491
0.219 -0.894 8.932
Na Sn In
5 1 6
Direct
0.334 0.835 0.670
0.666 0.666 0.332
0.334 0.334 0.668
0.666 0.165 0.330
0.000 0.500 0.000
0.000 0.000 0.000
0.501 0.757 0.000
0.833 0.585 0.669
0.833 0.086 0.669
0.499 0.243 0.000
0.167 0.914 0.331
0.167 0.415 0.331
```



[17]
Here is a geometry-optimized Na5In4Sn structure from the Alexandria database. Energies are from PBE-GGA.

## Properties
magnetization = 0.000 μB per atom

Cell and atoms, written as POSCAR:
```
Na5In4Sn
1.0
-2.744 4.272 -0.565
-1.523 2.620 4.113
9.021 8.956 0.808
Sn In Na
1 4 5
Direct
0.540 0.540 0.380
0.753 0.753 0.742
0.672 0.672 0.985
0.319 0.319 0.042
0.235 0.235 0.294
0.144 0.144 0.569
0.944 0.944 0.169
0.443 0.443 0.670
0.043 0.043 0.871
0.845 0.845 0.466
```



[18]
Here is a geometry-optimized Na4In4Sn structure from the Alexandria database. Energies are from PBE-GGA.

## Properties
magnetization = 0.000 μB per atom

Cell and atoms, written as POSCAR:
```
Na4In4Sn
1.0
4.500 0.000 1.359
2.250 7.156 0.679
0.182 0.000 7.530
Na In Sn
4 4 1
Direct
0.836 0.500 0.329
0.836 0.829 0.000
0.164 0.171 0.000
0.164 0.500 0.671
0.500 0.159 0.341
0.841 0.159 0.659
0.159 0.841 0.341
0.500 0.841 0.659
0.500 0.500 0.000
```



[19]
Here is a geometry-optimized NaIn3Sn3 structure from the Alexandria database. Energies are from PBE-GGA.

## Properties
magnetization = 0.000 μB per atom

Cell and atoms, written as POSCAR:
```
NaIn3Sn3
1.0
7.891 0.000 0.000
3.945 6.834 0.000
3.945 2.278 7.605
Sn In Na
6 6 2
Direct
0.186 0.729 0.193
0.814 0.271 0.807
0.271 0.109 0.807
0.729 0.891 0.193
0.891 0.186 0.193
0.109 0.814 0.807
0.060 0.579 0.614
0.940 0.421 0.386
0.747 0.060 0.614
0.421 0.253 0.386
0.253 0.940 0.386
0.579 0.747 0.614
0.668 0.668 0.997
0.332 0.332 0.003
```



[20]
Here is a geometry-optimized Na4InSn structure from the Alexandria database. Energies are from PBE-GGA.

## Properties
magnetization = 0.000 μB per atom

Cell and atoms, written as POSCAR:
```
Na4InSn
1.0
6.048 0.000 -0.718
0.000 9.473 0.000
-2.487 -4.736 6.939
Na In Sn
8 2 2
Direct
0.000 0.190 0.000
0.000 0.810 0.000
0.694 0.363 0.356
0.733 0.378 0.756
0.694 0.993 0.356
0.306 0.637 0.644
0.306 0.007 0.644
0.267 0.622 0.244
0.260 0.407 0.814
0.740 0.593 0.186
0.204 0.200 0.399
0.796 0.800 0.601
```



[21]
Here is a geometry-optimized Na4InSn structure from the Alexandria database. Energies are from PBE-GGA.

## Properties
magnetization = 0.000 μB per atom

Cell and atoms, written as POSCAR:
```
Na4InSn
1.0
-3.127 -0.447 -5.394
0.751 -5.025 -3.641
-4.635 -4.152 -0.591
Na In Sn
4 1 1
Direct
0.126 0.625 0.625
0.625 0.625 0.625
0.625 0.625 0.126
0.625 0.126 0.625
0.000 0.000 0.000
0.250 0.250 0.250
```



no.,total energy (eV/f.u.),energy of formation from the pure elements (eV/atom),D(E_F) (states/eV/cell)
1,-14.06,-0.103,4.4
2,-33.67,-0.020,7.4
3,-12.71,-0.119,1.8
4,-23.06,0.001,4.4
5,-35.62,0.074,5.7
6,-28.21,-0.009,3.8
7,-17.85,-0.051,3.5
8,-21.01,-0.104,3.5
9,-57.50,0.037,7.8
10,-36.12,0.015,4.7
11,-15.93,0.026,3.3
12,-31.69,-0.084,4.5
13,-11.40,-0.141,5.0
14,-19.14,-0.056,3.8
15,-20.79,-0.096,2.3
16,-28.25,-0.101,5.3
17,-22.51,-0.096,4.0
18,-21.29,-0.118,4.2
19,-21.59,-0.007,5.3
20,-12.63,-0.102,4.1
21,-11.63,0.065,3.8